No. 1
U2SeN2 | GGA-PBE | optimized geometry

Output
- ρ: 11073 kg/m3
- Formation energy without anion corrections: -1327.3 meV/atom
- Space group: C2/c (15)
- VASP energy: -9.87 eV per atom

Lattice parameters (Å, degrees): 5.848 5.848 6.653 118.60 118.60 73.21
Fractional coordinates of all 10 atoms:
U 0.007 0.667 0.801
U 0.333 0.993 0.699
U 0.667 0.007 0.301
U 0.993 0.333 0.199
Se 0.427 0.573 0.250
Se 0.573 0.427 0.750
N 0.006 0.249 0.506
N 0.249 0.006 0.006
N 0.751 0.994 0.994
N 0.994 0.751 0.494



No. 2
UZn10Pt2 | GGA-PBE | optimized geometry

Output
- ΔE_f: -228 meV/atom
- ρ: 10161 kg/m3
- Space group: Cmcm (63)
- VASP energy: -3.01 eV per atom

Lattice parameters (Å, degrees): 6.928 6.928 8.838 90.00 90.00 98.87
Fractional coordinates of all 26 atoms:
U 0.128 0.872 0.750
U 0.872 0.128 0.250
Zn 0.146 0.854 0.105
Zn 0.146 0.854 0.395
Zn 0.154 0.396 0.750
Zn 0.220 0.220 0.000
Zn 0.220 0.220 0.500
Zn 0.227 0.476 0.250
Zn 0.379 0.621 0.541
Zn 0.379 0.621 0.959
Zn 0.396 0.154 0.250
Zn 0.476 0.227 0.750
Zn 0.524 0.773 0.250
Zn 0.604 0.846 0.750
Zn 0.621 0.379 0.041
Zn 0.621 0.379 0.459
Zn 0.773 0.524 0.750
Zn 0.780 0.780 0.000
Zn 0.780 0.780 0.500
Zn 0.846 0.604 0.250
Zn 0.854 0.146 0.605
Zn 0.854 0.146 0.895
Pt 0.000 0.500 0.000
Pt 0.000 0.500 0.500
Pt 0.500 0.000 0.000
Pt 0.500 0.000 0.500



No. 3
Dy2FeGe4Pt3 | GGA-PBE | optimized geometry

Output
- ΔE_f: -781 meV/atom
- ρ: 11540 kg/m3
- Space group: P-4m2 (115)
- VASP energy: -6.21 eV per atom

Lattice parameters (Å, degrees): 4.089 4.089 10.814 90.00 90.00 90.00
Fractional coordinates of all 10 atoms:
Dy 0.000 0.500 0.238
Dy 0.500 0.000 0.762
Fe 0.500 0.500 0.000
Ge 0.000 0.000 0.500
Ge 0.000 0.500 0.874
Ge 0.500 0.000 0.126
Ge 0.500 0.500 0.500
Pt 0.000 0.000 0.000
Pt 0.000 0.500 0.646
Pt 0.500 0.000 0.354



No. 4
PmNdSi | GGA-PBE | optimized geometry

Output
- ρ: 6196 kg/m3
- Formation energy without anion corrections: -281.2 meV/atom
- E above lowest polymorph: 0.202 eV/atom
- Space group: Cmcm (63)
- VASP energy: -5.26 eV per atom

Lattice parameters (Å, degrees): 7.406 7.406 6.875 90.00 90.00 153.19
Fractional coordinates of all 6 atoms:
Pm 0.128 0.872 0.750
Pm 0.872 0.128 0.250
Nd 0.132 0.868 0.250
Nd 0.868 0.132 0.750
Si 0.500 0.500 0.000
Si 0.500 0.500 0.500



No. 5
CuNi5P3 | GGA-PBE | optimized geometry

Output
- ΔE_f: -308 meV/atom
- ρ: 6346 kg/m3
- Space group: Cmcm (63)
- VASP energy: -5.78 eV per atom

Lattice parameters (Å, degrees): 6.201 6.201 11.345 90.00 90.00 147.33
Fractional coordinates of all 18 atoms:
Cu 0.243 0.757 0.750
Cu 0.757 0.243 0.250
Ni 0.049 0.951 0.641
Ni 0.049 0.951 0.859
Ni 0.299 0.701 0.072
Ni 0.299 0.701 0.428
Ni 0.500 0.500 0.000
Ni 0.500 0.500 0.500
Ni 0.701 0.299 0.572
Ni 0.701 0.299 0.928
Ni 0.951 0.049 0.141
Ni 0.951 0.049 0.359
P 0.119 0.881 0.049
P 0.119 0.881 0.451
P 0.397 0.603 0.250
P 0.603 0.397 0.750
P 0.881 0.119 0.549
P 0.881 0.119 0.951



No. 6
KHgPb11 | GGA-PBE | optimized geometry

Output
- ΔE_f: -20 meV/atom
- ρ: 9683 kg/m3
- Space group: C2/m (12)
- VASP energy: -3.27 eV per atom

Lattice parameters (Å, degrees): 8.683 8.683 8.791 97.51 97.51 135.95
Fractional coordinates of all 13 atoms:
K 0.000 0.000 0.000
Hg 0.500 0.500 0.500
Pb 0.000 0.000 0.500
Pb 0.000 0.500 0.000
Pb 0.001 0.646 0.645
Pb 0.286 0.503 0.777
Pb 0.354 0.999 0.355
Pb 0.497 0.714 0.223
Pb 0.500 0.000 0.000
Pb 0.503 0.286 0.777
Pb 0.646 0.001 0.645
Pb 0.714 0.497 0.223
Pb 0.999 0.354 0.355